Below is ZrAl3O after structural relaxation, with properties calculated at the PBE level.

Cell lengths 4.220, 4.220, 4.220 Å; angles 90.00, 90.00, 90.00 degrees
Fractional coordinates of all 5 atoms:
Al  0.500  0.000  0.000
Al  0.000  0.500  0.000
Al  0.000  0.000  0.500
Zr  0.500  0.500  0.500
O  0.000  0.000  0.000

Output
Raw formation energy, eV/atom: -0.720
Raw total energy, eV per cell: -28.33
Energy relative to the lowest polymorph listed for this composition, eV/atom: 0.000
V, Å³ per atom: 15.03

Below is Al3Os after structural relaxation, with properties calculated at the PBE level.

Cell lengths 3.219, 3.219, 5.583 Å; angles 90.00, 90.00, 90.00 degrees
Fractional coordinates of all 4 atoms:
Os  0.500  0.500  0.750
Al  0.000  0.000  0.992
Al  0.000  0.000  0.508
Al  0.500  0.500  0.250

Output
Raw total energy, eV per cell: -23.63
Formation energy, eV/atom: -0.292
V, Å³ per atom: 14.46

Below is Al3Os after structural relaxation, with properties calculated at the PBE level.

Cell lengths 4.765, 4.765, 4.765 Å; angles 90.00, 90.00, 90.00 degrees
Fractional coordinates of all 4 atoms:
Al  0.000  0.000  0.500
Al  0.000  0.500  0.000
Al  0.500  0.000  0.000
Os  0.000  0.000  0.000

Output
Raw total energy, eV per cell: -22.37
Formation energy, eV/atom: 0.023
V, Å³ per atom: 27.05

Below is Al3Os after structural relaxation, with properties calculated at the PBE level.

Cell lengths 8.724, 8.724, 8.724 Å; angles 19.01, 19.01, 19.01 degrees
Fractional coordinates of all 4 atoms:
Al  0.256  0.256  0.256
Al  0.744  0.744  0.744
Al  0.500  0.500  0.500
Os  0.000  0.000  0.000

Output
Raw total energy, eV per cell: -23.00
Formation energy, eV/atom: -0.136
V, Å³ per atom: 15.39